# Ac4Pm10Y PBE-GGA optimized geometry
data_Ac4Pm10Y
_cell_length_a 11.770
_cell_length_b 11.770
_cell_length_c 8.284
_cell_angle_alpha 90.00
_cell_angle_beta 90.00
_cell_angle_gamma 90.00
_space_group_name_H-M_alt 'I 4/m m m'
_space_group_IT_number 139
_space_group_name_Hall '-I 4 2'
loop_
_atom_site_label
_atom_site_type_symbol
_atom_site_fract_x
_atom_site_fract_y
_atom_site_fract_z
Ac1 Ac 0.227 0.227 0.000
Pm1 Pm 0.000 0.207 0.294
Pm2 Pm 0.000 0.500 0.250
Y1 Y 0.000 0.000 0.000
# Energy = -0.32706 Ry/atom
# Calculated formation energy = 3.66 eV per formula unit